The following is a DFT calculation (PBE) of SbAu2Br after structural relaxation.

Summary:
Raw total energy in eV per cell: -23.340
Mass density in g cm⁻³: 10.24

a = 5.8479 Å, b = 8.1054 Å, c = 5.0050 Å
α = 90.00°, β = 125.49°, γ = 90.00°
Last column: nearest neighbours and their distance in Å.
Space group C2/m (No. 12)
Symmetry-distinct sites (fractional):
Sb 0.0000 0.0000 0.0000 (multiplicity 2)  4 Au 2.87, 2 Br 2.92
Au 0.2500 0.2500 0.5000 (multiplicity 4)  2 Sb 2.87, 2 Br 2.87, 2 Au 2.92
Br 0.0000 0.5000 0.0000 (multiplicity 2)  4 Au 2.87, 2 Sb 2.92